[1]
DFT (PBE) results for a relaxed GdErHf crystal.

a = 3.357 Å, b = 3.357 Å, c = 7.814 Å
α = 102.40°, β = 102.40°, γ = 90.00°
Positions (direct):
Gd  0.011  0.011  0.023
Hf  0.669  0.669  0.338
Er  0.320  0.320  0.639

Calculated values
Its density of states at the Fermi level is 4.356 states/eV per cell. The symmetry is No. 107. For the energy of formation, the calculation gives 0.117 eV per atom. The calculation puts the raw total energy at -9.416 eV per atom. For the energy above the most stable polymorph in this dataset, the calculation gives 0 meV per atom.

---

[2]
DFT (PBE) results for a relaxed TbSc2AgHg4 crystal.

a = 4.942 Å, b = 4.942 Å, c = 8.993 Å
α = 74.05°, β = 74.05°, γ = 60.00°
Positions (direct):
Sc  0.241  0.241  0.276
Sc  0.759  0.759  0.724
Hg  0.380  0.380  0.859
Hg  0.876  0.876  0.373
Hg  0.124  0.124  0.627
Hg  0.620  0.620  0.141
Tb  0.000  0.000  0.000
Ag  0.500  0.500  0.500

Calculated values
Its density of states at the Fermi level is 6.648 states/eV per cell. The symmetry is No. 166. For the energy of formation, the calculation gives -0.324 eV per atom. The calculation puts the raw total energy at -2.993 eV per atom.

---

[3]
DFT (PBE) results for a relaxed MnRuAu crystal.

a = 2.870 Å, b = 3.525 Å, c = 8.947 Å
α = 90.00°, β = 90.00°, γ = 90.00°
Positions (direct):
Au  0.000  0.000  0.432
Au  0.500  0.500  0.932
Mn  0.500  0.500  0.254
Mn  0.000  0.000  0.754
Ru  0.500  0.500  0.622
Ru  0.000  0.000  0.122

Calculated values
Its density of states at the Fermi level is 7.754 states/eV per cell. The symmetry is No. 44. For the energy of formation, the calculation gives 0.223 eV per atom. The calculation puts the raw total energy at -7.018 eV per atom. For the energy above the most stable polymorph in this dataset, the calculation gives 63 meV per atom.

---

[4]
DFT (PBE) results for a relaxed KFePH2 crystal.

a = 3.885 Å, b = 5.802 Å, c = 3.885 Å
α = 90.00°, β = 90.00°, γ = 90.00°
Positions (direct):
H  0.500  0.000  0.000
H  0.000  0.000  0.500
P  0.500  0.500  0.500
Fe  0.000  0.000  0.000
K  0.000  0.500  0.000

Calculated values
Its density of states at the Fermi level is 10.383 states/eV per cell. The symmetry is No. 123. The calculation puts the raw total energy at -2.875 eV per atom.

---

[5]
DFT (PBE) results for a relaxed BaGaCu crystal.

a = 4.560 Å, b = 6.094 Å, c = 8.812 Å
α = 86.52°, β = 93.10°, γ = 134.30°
Positions (direct):
Ga  0.544  0.235  0.379
Ga  0.456  0.765  0.621
Ba  0.504  0.264  0.799
Ba  0.496  0.736  0.201
Cu  0.082  0.261  0.497
Cu  0.918  0.739  0.503

Calculated values
Its density of states at the Fermi level is 4.047 states/eV per cell. The symmetry is No. 2. For the energy of formation, the calculation gives -0.245 eV per atom. The calculation puts the raw total energy at -3.260 eV per atom.

---

[6]
DFT (PBE) results for a relaxed K2SnTeO6 crystal.

a = 5.727 Å, b = 5.727 Å, c = 8.099 Å
α = 90.00°, β = 90.00°, γ = 90.00°
Positions (direct):
O  0.500  0.250  0.258
O  0.258  0.492  0.500
O  0.758  0.992  0.000
O  0.742  0.008  0.500
O  0.242  0.992  0.000
O  0.000  0.750  0.242
O  0.000  0.750  0.758
O  0.742  0.492  0.500
O  0.500  0.250  0.742
O  0.758  0.508  0.000
O  0.258  0.008  0.500
O  0.242  0.508  0.000
Te  0.000  0.750  0.000
Te  0.500  0.250  0.500
K  0.500  0.750  0.750
K  0.500  0.750  0.250
K  0.000  0.250  0.750
K  0.000  0.250  0.250
Sn  0.500  0.250  0.000
Sn  0.000  0.750  0.500

Calculated values
Its density of states at the Fermi level is 5.759 states/eV per cell. The symmetry is No. 225. The calculation puts the raw total energy at -5.294 eV per atom. The formation energy without anion corrections comes out at -1.385 eV per atom.